1.
A geometry-optimized Ta2CrBr structure, computed with PBE.

Results
- relative energy among the computed polymorphs (kcal/mol of atoms) = 9.91
- D(E_F) (states/eV per cell) = 3.4

Structure (extended XYZ):
```
4
Lattice="-4.652 -0.099 -0.462 1.123 -4.525 -0.351 -0.299 -0.314 3.084" Properties=species:S:1:pos:R:3 pbc="T T T"
Cr 0.412 -2.420 1.366
Ta 0.000 0.000 0.000
Ta -1.764 -2.312 -0.407
Br -2.476 -0.206 1.311
```

2.
A geometry-optimized TaCrBr structure, computed with PBE.

Results
- relative energy among the computed polymorphs (kcal/mol of atoms) = 3.75
- D(E_F) (states/eV per cell) = 2.6

Structure (extended XYZ):
```
3
Lattice="-1.017 5.609 3.750 -3.477 5.198 1.902 -0.509 -0.858 2.941" Properties=species:S:1:pos:R:3 pbc="T T T"
Br -0.517 -0.835 2.946
Ta -1.777 2.855 3.804
Cr -3.218 7.071 4.784
```

Among the records above, which one has the lowest D(E_F)?
TaCrBr